DFT (PBE with a Hubbard U) results for CrTcO3 after structural relaxation.

Geometry as CIF:
```
data_CrTcO3
_cell_length_a 3.7433
_cell_length_b 3.7433
_cell_length_c 3.7433
_cell_angle_alpha 90.00
_cell_angle_beta 90.00
_cell_angle_gamma 90.00
_space_group_name_H-M_alt 'P m -3 m'
_space_group_IT_number 221
_space_group_name_Hall '-P 4 2 3'
loop_
_atom_site_label
_atom_site_fract_x
_atom_site_fract_y
_atom_site_fract_z
_atom_site_occupancy
Cr1 0.0000 0.0000 0.0000 1
Tc1 0.5000 0.5000 0.5000 1
O1 0.0000 0.0000 0.5000 1
```

**Total magnetic moment**: 4.607 μB per cell
**Total energy**: -34.04 eV per formula unit
**V**: 10.5 Å³ per atom
**Density of states at the Fermi level**: 0.762 states/eV per atom